The following is a DFT calculation (GGA-PBE) of an optimized crystal structure of ZrFeRe3. Values from VASP.

Cell and atoms, written as Quantum ESPRESSO input:
```
&SYSTEM
  ibrav = 0, nat = 5, ntyp = 3
/
ATOMIC_SPECIES
Re 186.21 Re.upf
Fe 55.84 Fe.upf
Zr 91.22 Zr.upf
CELL_PARAMETERS angstrom
-2.174 3.511 2.279
-1.698 -3.087 3.136
3.826 0.625 2.686
ATOMIC_POSITIONS crystal
Re 0.000 0.500 0.000
Re 0.000 0.000 0.500
Re 0.500 0.000 0.000
Fe 0.500 0.500 0.500
Zr 0.000 0.000 0.000
```

DOS at the Fermi energy ... 2.14 states/eV/atom
Formation enthalpy at 0 K ... 293.7 kJ per mole of atoms
Space-group type ... No. 221
V ... 105 Å³/cell
Electronic total energy ... -7.827 eV per atom

---

The following is a DFT calculation (GGA-PBE) of an optimized crystal structure of Pr6Te3Pt2Se. Values from VASP.

Cell and atoms, written as Quantum ESPRESSO input:
```
&SYSTEM
  ibrav = 0, nat = 12, ntyp = 4
/
ATOMIC_SPECIES
Pr 140.91 Pr.upf
Te 127.60 Te.upf
Pt 195.08 Pt.upf
Se 78.96 Se.upf
CELL_PARAMETERS angstrom
-6.720 -3.250 -0.932
5.700 -3.906 2.974
-1.697 4.634 6.173
ATOMIC_POSITIONS crystal
Pr 0.925 0.580 0.779
Pr 0.727 0.727 0.220
Pr 0.075 0.420 0.221
Pr 0.580 0.925 0.779
Pr 0.273 0.273 0.780
Pr 0.420 0.075 0.221
Te 0.161 0.839 0.500
Te 0.839 0.161 0.500
Te 0.500 0.500 0.500
Pt 0.332 0.668 0.000
Pt 0.668 0.332 0.000
Se 0.000 0.000 0.000
```

DOS at the Fermi energy ... 0.61 states/eV/atom
Raw formation energy ... -1.392 eV/atom
Space-group type ... No. 12
V ... 367 Å³/cell
Electronic total energy ... -5.864 eV per atom

---

The following is a DFT calculation (GGA-PBE) of an optimized crystal structure of InMo2As. Values from VASP.

Cell and atoms, written as Quantum ESPRESSO input:
```
&SYSTEM
  ibrav = 0, nat = 4, ntyp = 3
/
ATOMIC_SPECIES
Mo 95.94 Mo.upf
As 74.92 As.upf
In 114.82 In.upf
CELL_PARAMETERS angstrom
3.831 0.000 0.000
0.000 3.102 -0.003
0.000 2.038 5.906
ATOMIC_POSITIONS crystal
Mo 0.000 0.097 0.036
Mo 0.000 0.403 0.464
As 0.500 0.250 0.250
In 0.500 0.750 0.750
```

DOS at the Fermi energy ... 0.89 states/eV/atom
Formation enthalpy at 0 K ... 29.6 kJ per mole of atoms
Space-group type ... No. 10
V ... 70 Å³/cell
Electronic total energy ... -6.956 eV per atom

---

The following is a DFT calculation (GGA-PBE) of an optimized crystal structure of LiAl2Tc. Values from VASP.

Cell and atoms, written as Quantum ESPRESSO input:
```
&SYSTEM
  ibrav = 0, nat = 4, ntyp = 3
/
ATOMIC_SPECIES
Al 26.98 Al.upf
Li 6.94 Li.upf
Tc 98.00 Tc.upf
CELL_PARAMETERS angstrom
2.736 -0.048 0.000
-0.794 2.618 0.000
0.000 0.000 8.683
ATOMIC_POSITIONS crystal
Al 0.000 0.000 0.985
Al 0.000 0.000 0.515
Li 0.500 0.500 0.250
Tc 0.500 0.500 0.750
```

DOS at the Fermi energy ... 0.38 states/eV/atom
Formation enthalpy at 0 K ... -12.8 kJ per mole of atoms
Space-group type ... No. 65
V ... 62 Å³/cell
Electronic total energy ... -5.074 eV per atom

---

The following is a DFT calculation (GGA-PBE) of an optimized crystal structure of Rb2AcNb2O7. Values from VASP.

Cell and atoms, written as Quantum ESPRESSO input:
```
&SYSTEM
  ibrav = 0, nat = 12, ntyp = 4
/
ATOMIC_SPECIES
Rb 85.47 Rb.upf
Ac 227.00 Ac.upf
Nb 92.91 Nb.upf
O 16.00 O.upf
CELL_PARAMETERS angstrom
4.109 -0.002 0.011
0.003 4.109 0.011
2.027 2.024 11.404
ATOMIC_POSITIONS crystal
Rb 0.809 0.809 0.381
Rb 0.191 0.191 0.619
Ac 0.000 0.000 0.000
Nb 0.594 0.594 0.811
Nb 0.406 0.406 0.189
O 0.500 0.500 0.000
O 0.323 0.323 0.353
O 0.677 0.677 0.647
O 0.919 0.419 0.163
O 0.419 0.919 0.163
O 0.581 0.081 0.837
O 0.081 0.581 0.837
```

DOS at the Fermi energy ... 0.06 states/eV/atom
Raw formation energy ... -2.617 eV/atom
Space-group type ... No. 139
V ... 192 Å³/cell
Electronic total energy ... -7.691 eV per atom

---

The following is a DFT calculation (GGA-PBE) of an optimized crystal structure of Er4CdPd2Ru. Values from VASP.

Cell and atoms, written as Quantum ESPRESSO input:
```
&SYSTEM
  ibrav = 0, nat = 8, ntyp = 4
/
ATOMIC_SPECIES
Er 167.26 Er.upf
Cd 112.41 Cd.upf
Pd 106.42 Pd.upf
Ru 101.07 Ru.upf
CELL_PARAMETERS angstrom
4.958 0.000 0.000
2.479 4.294 0.000
2.479 1.431 8.135
ATOMIC_POSITIONS crystal
Er 0.384 0.384 0.849
Er 0.869 0.869 0.394
Er 0.131 0.131 0.606
Er 0.616 0.616 0.151
Cd 0.000 0.000 0.000
Pd 0.749 0.749 0.753
Pd 0.251 0.251 0.247
Ru 0.500 0.500 0.500
```

DOS at the Fermi energy ... 0.56 states/eV/atom
Formation enthalpy at 0 K ... -62.5 kJ per mole of atoms
Space-group type ... No. 166
V ... 173 Å³/cell
Electronic total energy ... -5.501 eV per atom

---

The following is a DFT calculation (GGA-PBE) of an optimized crystal structure of Sm2Dy3Er3. Values from VASP.

Cell and atoms, written as Quantum ESPRESSO input:
```
&SYSTEM
  ibrav = 0, nat = 8, ntyp = 3
/
ATOMIC_SPECIES
Sm 150.36 Sm.upf
Dy 162.50 Dy.upf
Er 167.26 Er.upf
CELL_PARAMETERS angstrom
-1.809 2.449 -3.994
-2.851 -3.974 -1.145
-5.093 4.462 8.199
ATOMIC_POSITIONS crystal
Sm 0.750 0.250 0.500
Sm 0.250 0.750 0.500
Dy 0.623 0.623 0.247
Dy 0.377 0.377 0.753
Dy 0.500 0.000 0.000
Er 0.124 0.124 0.247
Er 0.000 0.500 0.000
Er 0.876 0.876 0.753
```

DOS at the Fermi energy ... 1.42 states/eV/atom
Formation enthalpy at 0 K ... 2.1 kJ per mole of atoms
Space-group type ... No. 71
V ... 253 Å³/cell
Electronic total energy ... -4.595 eV per atom

---

The following is a DFT calculation (GGA-PBE) of an optimized crystal structure of ErTm3Pu. Values from VASP.

Cell and atoms, written as Quantum ESPRESSO input:
```
&SYSTEM
  ibrav = 0, nat = 20, ntyp = 3
/
ATOMIC_SPECIES
Er 167.26 Er.upf
Tm 168.93 Tm.upf
Pu 244.00 Pu.upf
CELL_PARAMETERS angstrom
-5.063 -3.317 -0.048
3.717 -5.759 5.819
-5.661 8.560 5.563
ATOMIC_POSITIONS crystal
Er 0.831 0.552 0.403
Er 0.669 0.052 0.903
Er 0.331 0.948 0.097
Er 0.169 0.448 0.597
Tm 0.337 0.350 0.300
Tm 0.163 0.649 0.200
Tm 0.163 0.850 0.800
Tm 0.831 0.949 0.598
Tm 0.337 0.149 0.700
Tm 0.331 0.551 0.902
Tm 0.669 0.449 0.098
Tm 0.663 0.851 0.300
Tm 0.169 0.051 0.402
Tm 0.837 0.150 0.200
Tm 0.837 0.351 0.800
Tm 0.663 0.650 0.700
Pu 0.171 0.250 0.000
Pu 0.329 0.750 0.500
Pu 0.671 0.250 0.500
Pu 0.829 0.750 0.000
```

DOS at the Fermi energy ... 2.99 states/eV/atom
Formation enthalpy at 0 K ... 6.1 kJ per mole of atoms
Space-group type ... No. 14
V ... 592 Å³/cell
Electronic total energy ... -6.399 eV per atom

---

The following is a DFT calculation (GGA-PBE) of an optimized crystal structure of TmSi2PdRh. Values from VASP.

Cell and atoms, written as Quantum ESPRESSO input:
```
&SYSTEM
  ibrav = 0, nat = 5, ntyp = 4
/
ATOMIC_SPECIES
Tm 168.93 Tm.upf
Si 28.09 Si.upf
Pd 106.42 Pd.upf
Rh 102.91 Rh.upf
CELL_PARAMETERS angstrom
-0.951 3.662 -1.453
0.195 -1.449 -3.780
-4.493 -2.291 2.819
ATOMIC_POSITIONS crystal
Tm 0.000 0.000 0.000
Si 0.615 0.615 0.231
Si 0.385 0.385 0.769
Pd 0.750 0.250 0.500
Rh 0.250 0.750 0.500
```

DOS at the Fermi energy ... 0.51 states/eV/atom
Raw formation energy ... -0.985 eV/atom
Space-group type ... No. 119
V ... 82 Å³/cell
Electronic total energy ... -6.557 eV per atom

---

The following is a DFT calculation (GGA-PBE) of an optimized crystal structure of TbScBeCu. Values from VASP.

Cell and atoms, written as Quantum ESPRESSO input:
```
&SYSTEM
  ibrav = 0, nat = 4, ntyp = 4
/
ATOMIC_SPECIES
Sc 44.96 Sc.upf
Be 9.01 Be.upf
Tb 158.93 Tb.upf
Cu 63.55 Cu.upf
CELL_PARAMETERS angstrom
4.733 0.000 0.000
2.366 4.099 0.000
2.366 1.366 3.864
ATOMIC_POSITIONS crystal
Sc 0.500 0.500 0.500
Be 0.250 0.250 0.250
Tb 0.000 0.000 0.000
Cu 0.750 0.750 0.750
```

DOS at the Fermi energy ... 0.83 states/eV/atom
Formation enthalpy at 0 K ... -6.8 kJ per mole of atoms
Space-group type ... No. 216
V ... 75 Å³/cell
Electronic total energy ... -4.766 eV per atom

---

The following is a DFT calculation (GGA-PBE) of an optimized crystal structure of TbTh2Ni6. Values from VASP.

Cell and atoms, written as Quantum ESPRESSO input:
```
&SYSTEM
  ibrav = 0, nat = 9, ntyp = 3
/
ATOMIC_SPECIES
Tb 158.93 Tb.upf
Th 232.04 Th.upf
Ni 58.69 Ni.upf
CELL_PARAMETERS angstrom
3.588 0.000 0.000
1.794 7.348 1.133
1.794 3.195 6.714
ATOMIC_POSITIONS crystal
Tb 0.500 0.500 0.500
Th 0.354 0.146 0.146
Th 0.646 0.854 0.854
Ni 0.170 0.515 0.145
Ni 0.830 0.485 0.855
Ni 0.830 0.855 0.485
Ni 0.000 0.180 0.820
Ni 0.000 0.820 0.180
Ni 0.170 0.145 0.515
```

DOS at the Fermi energy ... 0.71 states/eV/atom
Formation enthalpy at 0 K ... -23.9 kJ per mole of atoms
Space-group type ... No. 71
V ... 164 Å³/cell
Electronic total energy ... -6.265 eV per atom

---

The following is a DFT calculation (GGA-PBE) of an optimized crystal structure of GaHgI2O. Values from VASP.

Cell and atoms, written as Quantum ESPRESSO input:
```
&SYSTEM
  ibrav = 0, nat = 5, ntyp = 4
/
ATOMIC_SPECIES
I 126.90 I.upf
O 16.00 O.upf
Hg 200.59 Hg.upf
Ga 69.72 Ga.upf
CELL_PARAMETERS angstrom
6.048 0.000 0.000
0.000 6.048 0.000
0.000 0.000 3.597
ATOMIC_POSITIONS crystal
I 0.000 0.500 0.000
I 0.500 0.000 0.000
O 0.000 0.000 0.500
Hg 0.500 0.500 0.500
Ga 0.000 0.000 0.000
```

DOS at the Fermi energy ... 0.50 states/eV/atom
Raw formation energy ... -0.375 eV/atom
Space-group type ... No. 123
V ... 132 Å³/cell
Electronic total energy ... -2.653 eV per atom